An optimized crystal structure of La7As. Source: Alexandria via LeMat-Bulk, functional GGA-PBE.

Properties
E_form = -0.22 eV/atom
space-group type = No. 225
DOS(E_F) = 10.14 states/eV/cell

a = 7.098 Å, b = 7.098 Å, c = 7.098 Å
α = 60.00°, β = 60.00°, γ = 60.00°
Positions (direct):
La1 0.500 0.000 0.000
La2 0.500 0.500 0.500
La3 0.500 0.000 0.500
La4 0.000 0.500 0.000
La5 0.500 0.500 0.000
La6 0.000 0.500 0.500
La7 0.000 0.000 0.500
As1 0.000 0.000 0.000

An optimized crystal structure of La2As. Source: Alexandria via LeMat-Bulk, functional GGA-PBE.

Properties
E_form = -0.76 eV/atom
space-group type = No. 141
DOS(E_F) = 7.53 states/eV/cell

a = 13.905 Å, b = 13.905 Å, c = 13.905 Å
α = 164.42°, β = 164.42°, γ = 22.11°
Positions (direct):
La1 0.189 0.689 0.500
As1 0.000 0.000 0.000
La2 0.439 0.439 0.000
As2 0.750 0.250 0.500
La3 0.561 0.561 0.000
La4 0.311 0.811 0.500

An optimized crystal structure of La3As. Source: Alexandria via LeMat-Bulk, functional GGA-PBE.

Properties
energy relative to the lowest polymorph listed for this composition = 131 meV/atom
E_form = -0.52 eV/atom
space-group type = No. 25
DOS(E_F) = 4.00 states/eV/cell

a = 4.042 Å, b = 5.053 Å, c = 5.804 Å
α = 90.00°, β = 90.00°, γ = 90.00°
Positions (direct):
As1 0.000 0.000 0.989
La1 0.500 0.000 0.466
La2 0.000 0.500 0.313
La3 0.500 0.500 0.900

An optimized crystal structure of La2As. Source: Alexandria via LeMat-Bulk, functional GGA-PBE.

Properties
E_form = -0.89 eV/atom
space-group type = No. 63
DOS(E_F) = 7.56 states/eV/cell

a = 8.392 Å, b = 8.392 Å, c = 6.151 Å
α = 90.00°, β = 90.00°, γ = 151.11°
Each line ends with the local moment (μB).
Positions (direct):
As1 0.188 0.812 0.250  0.00
La1 0.559 0.441 0.250  0.23
As2 0.812 0.188 0.750  0.00
La2 0.441 0.559 0.750  0.23
La3 0.180 0.820 0.750  0.10
La4 0.820 0.180 0.250  0.10

Q: Which of these has the highest E_form?
A: La7As

Q: What is the E_form in the fourth record?
A: -0.89 eV/atom

Q: Which of these has the highest E_form?
A: La7As